Compound: Be2PBr
Source: Alexandria via LeMat-Bulk
Functional: PBE
Structure: relaxed

As for the energy above the lowest structure with this stoichiometry: 0.134 eV/atom. The value obtained for the calculated volume is 157 Å³/cell. For the magnetic moment, the calculation gives 0.00 μB per formula unit. For the electronic total energy, the calculation gives -0.143 Ha/atom. The uncorrected formation energy is -0.27 eV/atom.

It has space group Cm (No. 8), with a = 6.499 Å, b = 3.419 Å, c = 7.052 Å, α = 90.00°, β = 90.68° and γ = 90.00°. The asymmetric unit holds Be at (0.000, 0.000, 0.000), Be at (0.182, 0.000, 0.270), P at (0.498, 0.000, 0.219) and Br at (0.251, 0.500, 0.799).

---

Compound: Cd2AgOs
Source: Alexandria via LeMat-Bulk
Functional: PBE
Structure: relaxed

As for the energy above the lowest structure with this stoichiometry: 0.517 eV/atom. The value obtained for the calculated volume is 317 Å³/cell. For the magnetic moment, the calculation gives 0.35 μB per formula unit. For the electronic total energy, the calculation gives -0.114 Ha/atom. The calculation puts the calculated formation energy at 0.86 eV/atom.

It has space group I-42d (No. 122), with a = 4.049 Å, b = 4.049 Å, c = 19.343 Å, α = 90.00°, β = 90.00° and γ = 90.00°. The asymmetric unit holds Cd at (0.242, 0.250, 0.125), Ag at (0.000, 0.000, 0.500) and Os at (0.000, 0.000, 0.000).

---

Q: Which value of magnetic moment does entry 2 give?
A: 0.35 μB per formula unit